1.
Computed, not measured: a geometry-optimized LiTcGe structure at the PBE level of DFT.

Geometry as CIF:
```
data_LiTcGe
_chemical_formula_sum 'Li4 Tc4 Ge4'
_symmetry_space_group_name_H-M 'F -4 3 m'
_symmetry_Int_Tables_number 216
_symmetry_space_group_name_Hall 'F -4 2 3'
_cell_length_a 5.757
_cell_length_b 5.757
_cell_length_c 5.757
_cell_angle_alpha 90.00
_cell_angle_beta 90.00
_cell_angle_gamma 90.00
loop_
_atom_site_label
_atom_site_fract_x
_atom_site_fract_y
_atom_site_fract_z
Li1 0.000 0.000 0.000
Tc1 0.000 0.000 0.500
Ge1 0.250 0.250 0.250
```

Properties
For the calculated volume, the calculation gives 191 Å³/cell. For the energy above the most stable polymorph in this dataset, the calculation gives 0.000 eV per atom.


2.
Computed, not measured: a geometry-optimized GdZn structure at the PBE level of DFT.

Geometry as CIF:
```
data_GdZn
_chemical_formula_sum 'Gd4 Zn4'
_symmetry_space_group_name_H-M 'P b c m'
_symmetry_Int_Tables_number 57
_cell_length_a 6.608
_cell_length_b 5.398
_cell_length_c 5.384
_cell_angle_alpha 90.00
_cell_angle_beta 90.00
_cell_angle_gamma 90.00
loop_
_symmetry_equiv_pos_as_xyz
'x,y,z'
'-x,-y,-z'
'-x,-y,z+1/2'
'x,y,-z+1/2'
'x,-y+1/2,-z'
'-x,y+1/2,z'
'-x,y+1/2,-z+1/2'
'x,-y+1/2,z+1/2'
loop_
_atom_site_label
_atom_site_fract_x
_atom_site_fract_y
_atom_site_fract_z
Gd1 0.167 0.006 0.250
Zn1 0.379 0.510 0.250
```

Properties
For the calculated volume, the calculation gives 192 Å³/cell. For the energy above the most stable polymorph in this dataset, the calculation gives 0.207 eV per atom. The energy of formation from the pure elements is -0.3 eV per formula unit.


3.
Computed, not measured: a geometry-optimized Gd4SIN2 structure at the PBE level of DFT.

Geometry as CIF:
```
data_Gd4SIN2
_chemical_formula_sum 'Gd4 S1 I1 N2'
_symmetry_space_group_name_H-M 'P -6 m 2'
_symmetry_Int_Tables_number 187
_symmetry_space_group_name_Hall 'P -6 2'
_cell_length_a 3.6646
_cell_length_b 3.6646
_cell_length_c 13.7706
_cell_angle_alpha 90.00
_cell_angle_beta 90.00
_cell_angle_gamma 120.00
loop_
_atom_site_label
_atom_site_fract_x
_atom_site_fract_y
_atom_site_fract_z
Gd1 0.0000 0.0000 0.1374
Gd2 0.6667 0.3333 0.3250
S1 0.6667 0.3333 0.0000
I1 0.0000 0.0000 0.5000
N1 0.3333 0.6667 0.2322
```

Properties
For the calculated volume, the calculation gives 160 Å³/cell. Its total energy is -6.641 eV/atom.


4.
Computed, not measured: a geometry-optimized Ge2Au7 structure at the PBE level of DFT.

Geometry as CIF:
```
data_Ge2Au7
_chemical_formula_sum 'Ge2 Au7'
_symmetry_space_group_name_H-M 'P -3 m 1'
_symmetry_Int_Tables_number 164
_symmetry_space_group_name_Hall '-P 3 2"'
_cell_length_a 2.9511
_cell_length_b 2.9511
_cell_length_c 34.6539
_cell_angle_alpha 90.00
_cell_angle_beta 90.00
_cell_angle_gamma 120.00
loop_
_atom_site_label
_atom_site_fract_x
_atom_site_fract_y
_atom_site_fract_z
Ge1 0.3333 0.6667 0.2264
Au1 0.0000 0.0000 0.2916
Au2 0.0000 0.0000 0.5000
Au3 0.3333 0.6667 0.4314
Au4 0.3333 0.6667 0.6380
```

Properties
For the calculated volume, the calculation gives 261 Å³/cell. Its total energy is -3.491 eV/atom.